No. 1
Below is an optimized crystal structure of KCeInBr6, with properties calculated at the PBE level.

Summary:
For the uncorrected formation energy, the calculation gives -1.440 eV/atom. Its symmetry is P4_2nm, No. 102.

a b c (Å): 7.335 7.335 13.984
angles (deg): 90.00 90.00 90.00
Sites, in units of the cell vectors:
K 0.500 0.500 0.169
K 0.000 0.000 0.669
Ce 0.500 0.500 0.834
Ce 0.000 0.000 0.334
In 0.500 0.500 0.501
In 0.000 0.000 0.001
Br 0.191 0.809 0.477
Br 0.809 0.191 0.477
Br 0.309 0.309 0.977
Br 0.691 0.691 0.977
Br 0.180 0.820 0.183
Br 0.820 0.180 0.183
Br 0.320 0.320 0.683
Br 0.680 0.680 0.683
Br 0.771 0.229 0.838
Br 0.229 0.771 0.838
Br 0.729 0.729 0.338
Br 0.271 0.271 0.338

---

No. 2
Below is an optimized crystal structure of CsTiGa, with properties calculated at the PBE level.

Summary:
The calculation puts the energy relative to the elements at 405.1 meV/atom. Its density of states at the Fermi level is 9.74 states/eV per cell. Its symmetry is Pnma, No. 62.

a b c (Å): 9.298 4.003 12.156
angles (deg): 90.00 90.00 90.00
Each line ends with the local moment (μB).
Sites, in units of the cell vectors:
Cs 0.037 0.250 0.827  -0.01
Cs 0.463 0.750 0.327  -0.01
Cs 0.963 0.750 0.173  -0.01
Cs 0.537 0.250 0.673  -0.01
Ga 0.804 0.250 0.416  -0.06
Ga 0.696 0.750 0.916  -0.06
Ga 0.196 0.750 0.584  -0.06
Ga 0.304 0.250 0.084  -0.06
Ti 0.081 0.250 0.471  0.73
Ti 0.419 0.750 0.971  0.73
Ti 0.919 0.750 0.529  0.73
Ti 0.581 0.250 0.029  0.73

---

No. 3
Below is an optimized crystal structure of MgBeV, with properties calculated at the PBE level.

Summary:
For the excess energy over the best structure of this formula in the dataset, the calculation gives 45.2 kJ/mol of formula units. The calculation puts the energy relative to the elements at 244.6 meV/atom. Its density of states at the Fermi level is 9.20 states/eV per cell. Its symmetry is Cm, No. 8.

a b c (Å): 6.264 3.111 9.352
angles (deg): 90.00 110.05 90.00
Sites, in units of the cell vectors:
Be 0.698 0.000 0.931
Be 0.698 0.500 0.431
Be 0.466 0.000 0.278
Be 0.466 0.500 0.778
Mg 0.266 0.000 0.925
Mg 0.266 0.500 0.425
Mg 0.067 0.000 0.609
Mg 0.067 0.500 0.109
V 0.613 0.000 0.619
V 0.613 0.500 0.119
V 0.851 0.000 0.285
V 0.851 0.500 0.785

---

No. 4
Below is an optimized crystal structure of Cs2BiAu, with properties calculated at the PBE level.

Summary:
For the excess energy over the best structure of this formula in the dataset, the calculation gives 0.0 kJ/mol of formula units. The calculation puts the energy relative to the elements at -444.5 meV/atom. Its symmetry is Cmcm, No. 63.

a b c (Å): 7.634 7.237 7.237
angles (deg): 112.17 90.00 90.00
Sites, in units of the cell vectors:
Cs 0.750 0.974 0.643
Cs 0.250 0.026 0.357
Cs 0.250 0.357 0.026
Cs 0.750 0.643 0.974
Bi 0.750 0.249 0.249
Bi 0.250 0.751 0.751
Au 0.000 0.500 0.500
Au 0.500 0.500 0.500

---

No. 5
Below is an optimized crystal structure of FePRhS2, with properties calculated at the PBE level.

Summary:
For the uncorrected formation energy, the calculation gives 0.641 eV/atom. For the excess energy over the best structure of this formula in the dataset, the calculation gives 0.0 kJ/mol of formula units. Its density of states at the Fermi level is 4.11 states/eV per cell. Its symmetry is P4/mmm, No. 123.

a b c (Å): 4.384 4.384 4.238
angles (deg): 90.00 90.00 90.00
Each line ends with the local moment (μB).
Sites, in units of the cell vectors:
P 0.000 0.000 0.500  -0.05
S 0.000 0.500 0.000  0.06
S 0.500 0.000 0.000  0.06
Rh 0.500 0.500 0.500  -0.01
Fe 0.000 0.000 0.000  1.15

---

No. 6
Below is an optimized crystal structure of Ca3SiBr2, with properties calculated at the PBE level.

Summary:
For the uncorrected formation energy, the calculation gives -1.061 eV/atom. For the excess energy over the best structure of this formula in the dataset, the calculation gives 91.5 kJ/mol of formula units. Its density of states at the Fermi level is 4.04 states/eV per cell. Its symmetry is P-3m1, No. 164.

a b c (Å): 4.551 4.551 11.297
angles (deg): 90.00 90.00 120.00
Sites, in units of the cell vectors:
Ca 0.000 0.000 0.500
Ca 0.667 0.333 0.112
Ca 0.333 0.667 0.888
Si 0.000 0.000 0.000
Br 0.667 0.333 0.628
Br 0.333 0.667 0.372

---

no.,total DFT energy (no corrections) (eV per atom),total moment (μB/f.u.)
1,-3.64,0.00
2,-3.52,0.67
3,-4.57,0.00
4,-2.66,0.00
5,-5.25,1.29
6,-3.52,0.00